[1]
BaCrS2I: single point on PBEsol structure, meta-GGA SCAN.

**Crystal system**: tetragonal
**Energy relative to the elements, uncorrected**: -6.19 eV per formula unit
**Calculated total energy**: -120.125 eV per cell
**Total magnetization**: 0.660 μB/atom

Unit cell a=4.7959 b=4.7959 c=5.3615 alpha=90.00 beta=90.00 gamma=90.00
Space group P4/mmm (No. 123)
Inequivalent atoms, fractional coordinates:
1 Ba 0.0000 0.0000 0.0000
2 Cr 0.5000 0.5000 0.5000
3 S 0.0000 0.5000 0.5000
4 I 0.5000 0.5000 0.0000

***

[2]
BaCr3In: single point on PBEsol structure, meta-GGA SCAN.

**Energy of formation**: 1.976 eV per atom
**Crystal system**: cubic
**Calculated total energy**: -118.211 eV per cell
**Total magnetization**: 2.483 μB/atom

Unit cell a=5.0816 b=5.0816 c=5.0816 alpha=90.00 beta=90.00 gamma=90.00
Space group Pm-3m (No. 221)
Inequivalent atoms, fractional coordinates:
1 Ba 0.0000 0.0000 0.0000
2 Cr 0.0000 0.0000 0.5000
3 In 0.5000 0.5000 0.5000

***

[3]
Ba2CrIn: single point on PBEsol structure, meta-GGA SCAN.

**Energy of formation**: 0.275 eV per atom
**Crystal system**: trigonal
**Calculated total energy**: -389.310 eV per cell
**Total magnetization**: 1.315 μB/atom

Unit cell a=4.1037 b=4.1037 c=31.0028 alpha=90.00 beta=90.00 gamma=120.00
Space group R-3m (No. 166, hexagonal axes)
Inequivalent atoms, fractional coordinates:
1 Ba 0.0000 0.0000 0.2477
2 Cr 0.0000 0.0000 0.5000
3 In 0.0000 0.0000 0.0000

***

[4]
BaCrIr2: single point on PBEsol structure, meta-GGA SCAN.

**Energy of formation**: 0.747 eV per atom
**Crystal system**: tetragonal
**ΔE to the lowest computed polymorph**: 0 meV per atom
**Calculated total energy**: -197.144 eV per cell
**Total magnetization**: 0.916 μB/atom

Unit cell a=4.2698 b=4.2698 c=4.1332 alpha=90.00 beta=90.00 gamma=90.00
Space group P4/mmm (No. 123)
Inequivalent atoms, fractional coordinates:
1 Ba 0.0000 0.0000 0.0000
2 Cr 0.5000 0.5000 0.0000
3 Ir 0.0000 0.5000 0.5000

***

[5]
Ba2CrIr: single point on PBEsol structure, meta-GGA SCAN.

**Energy of formation**: 0.452 eV per atom
**Crystal system**: trigonal
**Calculated total energy**: -500.328 eV per cell
**Total magnetization**: 1.326 μB/atom

Unit cell a=4.3748 b=4.3748 c=25.5637 alpha=90.00 beta=90.00 gamma=120.00
Space group R-3m (No. 166, hexagonal axes)
Inequivalent atoms, fractional coordinates:
1 Ba 0.0000 0.0000 0.2321
2 Cr 0.0000 0.0000 0.0000
3 Ir 0.0000 0.0000 0.5000

***

[6]
BaCrIr2: single point on PBEsol structure, meta-GGA SCAN.

**Energy of formation**: 0.845 eV per atom
**Crystal system**: tetragonal
**ΔE to the lowest computed polymorph**: 98 meV per atom
**Calculated total energy**: -393.504 eV per cell
**Total magnetization**: 0.686 μB/atom

Unit cell a=4.3300 b=4.3300 c=7.9473 alpha=90.00 beta=90.00 gamma=90.00
Space group I-4m2 (No. 119)
Inequivalent atoms, fractional coordinates:
1 Ba 0.0000 0.0000 0.0000
2 Cr 0.0000 0.5000 0.2500
3 Ir 0.0000 0.0000 0.5000
4 Ir 0.0000 0.5000 0.7500

***

[7]
BaLa2CrIr: single point on PBEsol structure, meta-GGA SCAN.

**Energy of formation**: -0.055 eV per atom
**Crystal system**: tetragonal
**Calculated total energy**: -215.521 eV per cell
**Total magnetization**: 0.999 μB/atom

Unit cell a=5.4781 b=5.4781 c=6.1351 alpha=90.00 beta=90.00 gamma=90.00
Space group P4/mmm (No. 123)
Inequivalent atoms, fractional coordinates:
1 Ba 0.0000 0.0000 0.0000
2 La 0.0000 0.5000 0.5000
3 Cr 0.5000 0.5000 0.0000
4 Ir 0.0000 0.0000 0.5000

***

[8]
KBaCr2Tc: single point on PBEsol structure, meta-GGA SCAN.

**Energy of formation**: 1.956 eV per atom
**Crystal system**: tetragonal
**Calculated total energy**: -109.927 eV per cell
**Total magnetization**: 2.531 μB/atom

Unit cell a=5.8746 b=5.8746 c=5.1487 alpha=90.00 beta=90.00 gamma=90.00
Space group P4/mmm (No. 123)
Inequivalent atoms, fractional coordinates:
1 K 0.0000 0.0000 0.0000
2 Ba 0.5000 0.5000 0.5000
3 Cr 0.0000 0.5000 0.5000
4 Tc 0.5000 0.5000 0.0000